A plane-wave DFT calculation with PBE-GGA was carried out for a relaxed Nd2HoIn2Hg2 crystal.

Geometry as POSCAR:
```
Nd2HoIn2Hg2
1.0
-0.955 -3.107 3.688
3.696 -2.201 2.379
1.239 5.362 8.114
In Nd Ho Hg
2 2 1 2
Cartesian
0.985 -0.207 3.357 In
2.996 0.261 10.824 In
1.115 2.638 5.787 Nd
2.866 -2.584 8.394 Nd
0.000 0.000 0.000 Ho
2.101 2.448 9.158 Hg
1.880 -2.394 5.022 Hg
```

Properties
Formation enthalpy at 0 K: -0.296 eV per atom
Total moment: 0.00 Bohr magnetons per cell

---

A plane-wave DFT calculation with PBE-GGA was carried out for a relaxed PmHo2In2Hg2 crystal.

Geometry as POSCAR:
```
PmHo2In2Hg2
1.0
4.952 0.000 0.000
2.476 4.289 0.000
2.476 1.430 8.891
Hg In Ho Pm
2 2 2 1
Cartesian
4.952 2.859 2.591 Hg
4.952 2.859 6.300 Hg
7.428 4.289 7.113 In
2.476 1.430 1.777 In
7.428 4.289 3.529 Ho
2.476 1.430 5.362 Ho
0.000 0.000 0.000 Pm
```

Properties
Formation enthalpy at 0 K: -0.291 eV per atom
Total moment: 0.00 Bohr magnetons per cell

---

A plane-wave DFT calculation with PBE-GGA was carried out for a relaxed Pm2HoIn3Hg6 crystal.

Geometry as POSCAR:
```
Pm2HoIn3Hg6
1.0
4.276 0.000 0.000
0.000 4.276 0.000
0.000 0.000 20.287
Hg Ho In Pm
6 1 3 2
Cartesian
0.000 0.000 17.497 Hg
2.138 0.000 12.397 Hg
0.000 2.138 7.890 Hg
0.000 0.000 2.790 Hg
2.138 0.000 7.890 Hg
0.000 2.138 12.397 Hg
2.138 2.138 10.143 Ho
0.000 0.000 14.584 In
0.000 0.000 0.000 In
0.000 0.000 5.703 In
2.138 2.138 15.850 Pm
2.138 2.138 4.437 Pm
```

Properties
Formation enthalpy at 0 K: -0.082 eV per atom
Total moment: 0.00 Bohr magnetons per cell

---

A plane-wave DFT calculation with PBE-GGA was carried out for a relaxed Pm2HoIn2Hg2 crystal.

Geometry as POSCAR:
```
Pm2HoIn2Hg2
1.0
4.908 0.000 0.000
2.454 4.251 0.000
2.454 1.417 9.326
Pm Ho In Hg
2 1 2 2
Cartesian
2.454 1.417 5.761 Pm
7.363 4.251 3.566 Pm
0.000 0.000 0.000 Ho
2.454 1.417 2.072 In
7.363 4.251 7.254 In
4.908 2.834 7.813 Hg
4.908 2.834 1.514 Hg
```

Properties
Formation enthalpy at 0 K: -0.292 eV per atom
Total moment: 0.00 Bohr magnetons per cell

---

A plane-wave DFT calculation with PBE-GGA was carried out for a relaxed PrHoInHg crystal.

Geometry as POSCAR:
```
PrHoInHg
1.0
5.402 0.000 0.000
2.701 4.679 0.000
2.701 1.560 4.411
Pr In Hg Ho
1 1 1 1
Cartesian
5.402 3.119 2.206 Pr
2.701 1.560 1.103 In
8.104 4.679 3.308 Hg
0.000 0.000 0.000 Ho
```

Properties
Formation enthalpy at 0 K: -0.456 eV per atom
Total moment: 0.25 Bohr magnetons per cell

---

A plane-wave DFT calculation with PBE-GGA was carried out for a relaxed Pr2HoIn2Hg2 crystal.

Geometry as POSCAR:
```
Pr2HoIn2Hg2
1.0
4.924 0.000 0.000
2.462 4.264 0.000
2.462 1.421 9.447
In Pr Hg Ho
2 2 2 1
Cartesian
7.386 4.264 7.409 In
2.462 1.421 2.038 In
2.462 1.421 5.843 Pr
7.386 4.264 3.605 Pr
4.924 2.843 7.947 Hg
4.924 2.843 1.501 Hg
0.000 0.000 0.000 Ho
```

Properties
Formation enthalpy at 0 K: -0.301 eV per atom
Total moment: 0.00 Bohr magnetons per cell

---

A plane-wave DFT calculation with PBE-GGA was carried out for a relaxed PrHo2In2Hg2 crystal.

Geometry as POSCAR:
```
PrHo2In2Hg2
1.0
4.965 0.000 0.000
2.483 4.300 0.000
2.483 1.433 8.956
Hg Ho Pr In
2 2 1 2
Cartesian
4.965 2.867 6.306 Hg
4.965 2.867 2.650 Hg
7.448 4.300 3.569 Ho
2.483 1.433 5.388 Ho
0.000 0.000 0.000 Pr
2.483 1.433 1.830 In
7.448 4.300 7.126 In
```

Properties
Formation enthalpy at 0 K: -0.305 eV per atom
Total moment: 0.00 Bohr magnetons per cell

---

A plane-wave DFT calculation with PBE-GGA was carried out for a relaxed HoPuInHg crystal.

Geometry as POSCAR:
```
HoPuInHg
1.0
5.320 0.000 0.000
2.660 4.607 0.000
2.660 1.536 4.344
Ho Hg Pu In
1 1 1 1
Cartesian
0.000 0.000 0.000 Ho
7.980 4.607 3.258 Hg
5.320 3.072 2.172 Pu
2.660 1.536 1.086 In
```

Properties
Formation enthalpy at 0 K: -0.259 eV per atom
Total moment: 6.30 Bohr magnetons per cell